Entry from the Alexandria database: a relaxed Ba3Cu2Ag4 crystal (GGA-PBE).

Summary:
**ΔE_f**: -1.69 eV/f.u.
**ρ**: 6144 kg/m3

CIF file:
```
data_Ba3Cu2Ag4
_cell_length_a 12.1504
_cell_length_b 4.7485
_cell_length_c 9.3860
_cell_angle_alpha 90.00
_cell_angle_beta 104.35
_cell_angle_gamma 90.00
_space_group_name_H-M_alt 'C 1 2/m 1'
_space_group_IT_number 12
loop_
_space_group_symop_operation_xyz
'x,y,z'
'-x,-y,-z'
'-x,y,-z'
'x,-y,z'
'x+1/2,y+1/2,z'
'-x+1/2,-y+1/2,-z'
'-x+1/2,y+1/2,-z'
'x+1/2,-y+1/2,z'
loop_
_atom_site_label
_atom_site_type_symbol
_atom_site_fract_x
_atom_site_fract_y
_atom_site_fract_z
Ba1 Ba 0.0000 0.0000 0.0000
Ba2 Ba 0.1667 0.5000 0.6638
Cu1 Cu 0.1104 0.5000 0.2808
Ag1 Ag 0.0574 0.0000 0.3819
Ag2 Ag 0.2181 0.5000 0.0642
```

Entry from the Alexandria database: a relaxed YTe2Ru crystal (GGA-PBE).

Summary:
**Energy above the most stable polymorph in this dataset**: 0.315 eV per atom
**ρ**: 8116 kg/m3

CIF file:
```
data_YTe2Ru
_cell_length_a 4.2674
_cell_length_b 4.2674
_cell_length_c 10.0034
_cell_angle_alpha 90.00
_cell_angle_beta 90.00
_cell_angle_gamma 90.00
_space_group_name_H-M_alt 'I -4 m 2'
_space_group_IT_number 119
_space_group_name_Hall 'I -4 -2'
loop_
_atom_site_label
_atom_site_type_symbol
_atom_site_fract_x
_atom_site_fract_y
_atom_site_fract_z
Y1 Y 0.0000 0.0000 0.0000
Te1 Te 0.0000 0.0000 0.5000
Te2 Te 0.0000 0.5000 0.2500
Ru1 Ru 0.0000 0.5000 0.7500
```

Entry from the Alexandria database: a relaxed Tl2BiSb2 crystal (GGA-PBE).

Summary:
**Energy above the most stable polymorph in this dataset**: 0.221 eV per atom
**ρ**: 9100 kg/m3

CIF file:
```
data_Tl2BiSb2
_cell_length_a 9.7971
_cell_length_b 9.7971
_cell_length_c 3.2747
_cell_angle_alpha 90.00
_cell_angle_beta 90.00
_cell_angle_gamma 90.00
_space_group_name_H-M_alt 'P 4/m b m'
_space_group_IT_number 127
_space_group_name_Hall '-P 4 2ab'
loop_
_atom_site_label
_atom_site_type_symbol
_atom_site_fract_x
_atom_site_fract_y
_atom_site_fract_z
Tl1 Tl 0.1246 0.3754 0.0000
Bi1 Bi 0.0000 0.0000 0.0000
Sb1 Sb 0.1746 0.6746 0.5000
```

Entry from the Alexandria database: a relaxed Rb2ZnTeF6 crystal (GGA-PBE).

Summary:
**DFT total energy**: -77.947 eV/cell
**ρ**: 4144 kg/m3

CIF file:
```
data_Rb2ZnTeF6
_cell_length_a 6.6554
_cell_length_b 6.6554
_cell_length_c 8.6467
_cell_angle_alpha 90.00
_cell_angle_beta 90.00
_cell_angle_gamma 90.00
_space_group_name_H-M_alt 'I 4/m m m'
_space_group_IT_number 139
_space_group_name_Hall '-I 4 2'
loop_
_atom_site_label
_atom_site_type_symbol
_atom_site_fract_x
_atom_site_fract_y
_atom_site_fract_z
Rb1 Rb 0.0000 0.5000 0.2500
Zn1 Zn 0.0000 0.0000 0.0000
Te1 Te 0.0000 0.0000 0.5000
F1 F 0.0000 0.0000 0.2564
F2 F 0.2132 0.2132 0.0000
```

Entry from the Alexandria database: a relaxed UNb2Se6 crystal (GGA-PBE).

Summary:
**DFT total energy**: -117.107 eV/cell
**ρ**: 6211 kg/m3

CIF file:
```
data_UNb2Se6
_cell_length_a 13.1642
_cell_length_b 4.7370
_cell_length_c 9.3868
_cell_angle_alpha 90.00
_cell_angle_beta 124.91
_cell_angle_gamma 90.00
_space_group_name_H-M_alt 'C 1 2/m 1'
_space_group_IT_number 12
loop_
_space_group_symop_operation_xyz
'x,y,z'
'-x,-y,-z'
'-x,y,-z'
'x,-y,z'
'x+1/2,y+1/2,z'
'-x+1/2,-y+1/2,-z'
'-x+1/2,y+1/2,-z'
'x+1/2,-y+1/2,z'
loop_
_atom_site_label
_atom_site_type_symbol
_atom_site_fract_x
_atom_site_fract_y
_atom_site_fract_z
U1 U 0.0000 0.0000 0.0000
Nb1 Nb 0.1378 0.0000 0.5674
Se1 Se 0.0508 0.0000 0.7428
Se2 Se 0.1459 0.5000 0.1047
Se3 Se 0.2293 0.5000 0.5927
```

Entry from the Alexandria database: a relaxed YMgHg3 crystal (GGA-PBE).

Summary:
**ΔE_f**: 0.43 eV/f.u.
**Energy above the most stable polymorph in this dataset**: 0.272 eV per atom
**ρ**: 8748 kg/m3

CIF file:
```
data_YMgHg3
_cell_length_a 5.1390
_cell_length_b 5.1390
_cell_length_c 5.1390
_cell_angle_alpha 90.00
_cell_angle_beta 90.00
_cell_angle_gamma 90.00
_space_group_name_H-M_alt 'P m -3 m'
_space_group_IT_number 221
_space_group_name_Hall '-P 4 2 3'
loop_
_atom_site_label
_atom_site_type_symbol
_atom_site_fract_x
_atom_site_fract_y
_atom_site_fract_z
Y1 Y 0.0000 0.0000 0.0000
Mg1 Mg 0.5000 0.5000 0.5000
Hg1 Hg 0.0000 0.5000 0.5000
```

Entry from the Alexandria database: a relaxed PrGdMg4 crystal (GGA-PBE).

Summary:
**ΔE_f**: -0.64 eV/f.u.
**ρ**: 4068 kg/m3

CIF file:
```
data_PrGdMg4
_cell_length_a 8.6424
_cell_length_b 8.6424
_cell_length_c 8.6424
_cell_angle_alpha 90.00
_cell_angle_beta 90.00
_cell_angle_gamma 90.00
_space_group_name_H-M_alt 'F -4 3 m'
_space_group_IT_number 216
_space_group_name_Hall 'F -4 2 3'
loop_
_atom_site_label
_atom_site_type_symbol
_atom_site_fract_x
_atom_site_fract_y
_atom_site_fract_z
Pr1 Pr 0.0000 0.0000 0.0000
Gd1 Gd 0.2500 0.2500 0.7500
Mg1 Mg 0.1251 0.1251 0.3749
```

Entry from the Alexandria database: a relaxed Sc6CdRu5 crystal (GGA-PBE).

Summary:
**ΔE_f**: -6.41 eV/f.u.
**ρ**: 7115 kg/m3

CIF file:
```
data_Sc6CdRu5
_cell_length_a 4.6007
_cell_length_b 6.5662
_cell_length_c 7.2274
_cell_angle_alpha 90.00
_cell_angle_beta 108.44
_cell_angle_gamma 90.00
_space_group_name_H-M_alt 'P 1 2/m 1'
_space_group_IT_number 10
loop_
_space_group_symop_operation_xyz
'x,y,z'
'-x,-y,-z'
'-x,y,-z'
'x,-y,z'
loop_
_atom_site_label
_atom_site_type_symbol
_atom_site_fract_x
_atom_site_fract_y
_atom_site_fract_z
Sc1 Sc 0.0000 0.2315 0.0000
Sc2 Sc 0.3263 0.2435 0.6528
Cd1 Cd 0.5000 0.5000 0.0000
Ru1 Ru 0.1641 0.5000 0.3275
Ru2 Ru 0.1665 0.0000 0.3325
Ru3 Ru 0.5000 0.0000 0.0000
```

Entry from the Alexandria database: a relaxed SrSi2Ag crystal (GGA-PBE).

Summary:
**DFT total energy**: -15.843 eV/cell
**ρ**: 4232 kg/m3

CIF file:
```
data_SrSi2Ag
_cell_length_a 5.0688
_cell_length_b 3.8977
_cell_length_c 5.1327
_cell_angle_alpha 90.00
_cell_angle_beta 103.13
_cell_angle_gamma 90.00
_space_group_name_H-M_alt 'P 1 m 1'
_space_group_IT_number 6
loop_
_space_group_symop_operation_xyz
'x,y,z'
'x,-y,z'
loop_
_atom_site_label
_atom_site_type_symbol
_atom_site_fract_x
_atom_site_fract_y
_atom_site_fract_z
Sr1 Sr 0.0000 0.0000 0.0000
Si1 Si 0.5851 0.0000 0.3636
Si2 Si 0.8579 0.5000 0.4975
Ag1 Ag 0.3635 0.5000 0.6068
```

Entry from the Alexandria database: a relaxed RbVB2 crystal (GGA-PBE).

Summary:
**ΔE_f**: 8.62 eV/f.u.
**Energy above the most stable polymorph in this dataset**: 0.935 eV per atom
**ρ**: 3938 kg/m3

CIF file:
```
data_RbVB2
_cell_length_a 6.4356
_cell_length_b 6.4356
_cell_length_c 6.4356
_cell_angle_alpha 90.00
_cell_angle_beta 90.00
_cell_angle_gamma 90.00
_space_group_name_H-M_alt 'F m -3 m'
_space_group_IT_number 225
_space_group_name_Hall '-F 4 2 3'
loop_
_atom_site_label
_atom_site_type_symbol
_atom_site_fract_x
_atom_site_fract_y
_atom_site_fract_z
Rb1 Rb 0.0000 0.0000 0.0000
V1 V 0.0000 0.0000 0.5000
B1 B 0.2500 0.2500 0.2500
```

Entry from the Alexandria database: a relaxed KY2Ir crystal (GGA-PBE).

Summary:
**ΔE_f**: 2.16 eV/f.u.
**Energy above the most stable polymorph in this dataset**: 0.885 eV per atom
**ρ**: 6694 kg/m3

CIF file:
```
data_KY2Ir
_cell_length_a 7.4044
_cell_length_b 7.4044
_cell_length_c 7.4044
_cell_angle_alpha 90.00
_cell_angle_beta 90.00
_cell_angle_gamma 90.00
_space_group_name_H-M_alt 'F -4 3 m'
_space_group_IT_number 216
_space_group_name_Hall 'F -4 2 3'
loop_
_atom_site_label
_atom_site_type_symbol
_atom_site_fract_x
_atom_site_fract_y
_atom_site_fract_z
K1 K 0.0000 0.0000 0.0000
Y1 Y 0.0000 0.0000 0.5000
Y2 Y 0.2500 0.2500 0.7500
Ir1 Ir 0.2500 0.2500 0.2500
```

Entry from the Alexandria database: a relaxed Tb2Pr5Nd4 crystal (GGA-PBE).

Summary:
**ΔE_f**: 1.45 eV/f.u.
**Energy above the most stable polymorph in this dataset**: 0.049 eV per atom
**ρ**: 6838 kg/m3

CIF file:
```
data_Tb2Pr5Nd4
_cell_length_a 24.5326
_cell_length_b 3.5357
_cell_length_c 9.0221
_cell_angle_alpha 90.00
_cell_angle_beta 96.97
_cell_angle_gamma 90.00
_space_group_name_H-M_alt 'C 1 2/m 1'
_space_group_IT_number 12
loop_
_space_group_symop_operation_xyz
'x,y,z'
'-x,-y,-z'
'-x,y,-z'
'x,-y,z'
'x+1/2,y+1/2,z'
'-x+1/2,-y+1/2,-z'
'-x+1/2,y+1/2,-z'
'x+1/2,-y+1/2,z'
loop_
_atom_site_label
_atom_site_type_symbol
_atom_site_fract_x
_atom_site_fract_y
_atom_site_fract_z
Tb1 Tb 0.0905 0.0000 0.2321
Pr1 Pr 0.0000 0.5000 0.5000
Pr2 Pr 0.1402 0.0000 0.6140
Pr3 Pr 0.2299 0.0000 0.3219
Nd1 Nd 0.0455 0.0000 0.8625
Nd2 Nd 0.1769 0.5000 0.9723
```

Entry from the Alexandria database: a relaxed MgBPd3 crystal (GGA-PBE).

Summary:
**ΔE_f**: -2.43 eV/f.u.
**Energy above the most stable polymorph in this dataset**: 0.000 eV per atom
**ρ**: 8155 kg/m3

CIF file:
```
data_MgBPd3
_cell_length_a 8.2514
_cell_length_b 8.0515
_cell_length_c 5.6604
_cell_angle_alpha 90.00
_cell_angle_beta 129.87
_cell_angle_gamma 90.00
_space_group_name_H-M_alt 'C 1 m 1'
_space_group_IT_number 8
loop_
_space_group_symop_operation_xyz
'x,y,z'
'x,-y,z'
'x+1/2,y+1/2,z'
'x+1/2,-y+1/2,z'
loop_
_atom_site_label
_atom_site_type_symbol
_atom_site_fract_x
_atom_site_fract_y
_atom_site_fract_z
Mg1 Mg 0.0000 0.0000 0.0000
Mg2 Mg 0.0434 0.5000 0.0013
B1 B 0.0180 0.2486 0.4685
Pd1 Pd 0.0927 0.5000 0.5239
Pd2 Pd 0.2615 0.2166 0.9822
Pd3 Pd 0.2803 0.1919 0.5009
Pd4 Pd 0.4529 0.5000 0.4693
```